# SrLa4Tc

A relaxed SrLa4Tc crystal (PBE, Alexandria via LeMat-Bulk).

* E above lowest polymorph: 0 meV per atom
* VASP energy: -5.26 eV per atom
* magnetic moment: 0.00 μB per cell
* V: 453.7 Å³ per cell

The structure in extended XYZ format:
```
12
Lattice="2.9530 6.2067 3.6644 -3.1642 -1.7517 5.5169 9.8555 -0.9178 1.8908" Properties=species:S:1:pos:R:3 pbc="T T T"
Sr 3.9508 -0.7701 6.3990
La 5.7826 2.2678 8.0558
Sr 5.6934 4.3074 4.6730
La 9.0527 3.9309 6.7945
La 2.1867 4.5961 2.7135
La 3.8616 1.2695 3.0163
La 2.0865 2.7484 6.1327
Tc 8.5949 1.4073 7.2469
La 0.7663 1.6106 0.9509
La 7.5577 0.7888 4.9394
La 0.5915 -0.3937 4.2776
Tc 1.0493 2.1299 3.8251
```